Below is a geometry-optimized Ac3Sn4Rh2 structure, with properties calculated at the GGA-PBE level.

Results
* N(E_F): 8.05 states/eV/cell
* volume: 258.6 Å³/f.u.
* ΔE to the lowest computed polymorph: 22 kJ/mol of formula units
* magnetization: 0.00 μB per formula unit
* final energy: -5.48 eV/atom
* space-group type: C2/m, No. 12

a = 4.660 Å, b = 6.567 Å, c = 9.362 Å
α = 104.09°, β = 90.00°, γ = 110.78°
Sites, in units of the cell vectors:
Sn 0.962 0.925 0.636
Ac 0.675 0.350 0.636
Ac 0.325 0.650 0.364
Ac 0.000 0.000 0.000
Sn 0.038 0.075 0.364
Sn 0.265 0.530 0.911
Rh 0.609 0.218 0.281
Rh 0.391 0.782 0.719
Sn 0.735 0.470 0.089